Entry i
Ni10As: optimized geometry, PBE-GGA.

space-group type: C2/m, No. 12
crystal system: monoclinic

```
Ni10As
1.0
3.865 -1.728 0.000
3.865 1.728 0.000
-0.150 0.000 28.875
Ni As
20 2
Direct
0.049 0.049 0.404 Ni
0.051 0.051 0.679 Ni
0.148 0.148 0.766 Ni
0.150 0.150 0.486 Ni
0.251 0.251 0.569 Ni
0.253 0.253 0.293 Ni
0.349 0.349 0.377 Ni
0.350 0.350 0.652 Ni
0.448 0.448 0.736 Ni
0.450 0.450 0.459 Ni
0.550 0.550 0.541 Ni
0.552 0.552 0.264 Ni
0.650 0.650 0.348 Ni
0.651 0.651 0.623 Ni
0.747 0.747 0.707 Ni
0.749 0.749 0.431 Ni
0.850 0.850 0.514 Ni
0.852 0.852 0.234 Ni
0.949 0.949 0.321 Ni
0.951 0.951 0.596 Ni
0.154 0.154 0.212 As
0.846 0.846 0.788 As
```

***

Entry ii
Ni10As: optimized geometry, PBE-GGA.

space-group type: C2/m, No. 12
crystal system: monoclinic

```
Ni10As
1.0
3.855 -1.745 0.000
3.855 1.745 0.000
-0.038 0.000 29.208
Ni As
20 2
Direct
0.049 0.049 0.230 Ni
0.050 0.050 0.960 Ni
0.150 0.150 0.148 Ni
0.150 0.150 0.879 Ni
0.248 0.248 0.798 Ni
0.250 0.250 0.067 Ni
0.350 0.350 0.986 Ni
0.351 0.351 0.260 Ni
0.447 0.447 0.175 Ni
0.450 0.450 0.906 Ni
0.550 0.550 0.094 Ni
0.553 0.553 0.825 Ni
0.649 0.649 0.740 Ni
0.650 0.650 0.014 Ni
0.750 0.750 0.933 Ni
0.752 0.752 0.202 Ni
0.850 0.850 0.121 Ni
0.850 0.850 0.852 Ni
0.950 0.950 0.040 Ni
0.951 0.951 0.770 Ni
0.350 0.350 0.719 As
0.650 0.650 0.281 As
```

***

Which structure is the most stable? The one labeled entry i.

***

Entry i
NiAs3: optimized geometry, PBE-GGA.

space-group type: P6_3/mmc, No. 194
crystal system: hexagonal

```
NiAs3
1.0
7.331 0.000 0.000
-3.665 6.349 0.000
0.000 0.000 3.759
Ni As
2 6
Direct
0.333 0.667 0.250 Ni
0.667 0.333 0.750 Ni
0.216 0.433 0.750 As
0.216 0.784 0.750 As
0.433 0.216 0.250 As
0.567 0.784 0.750 As
0.784 0.216 0.250 As
0.784 0.567 0.250 As
```

***

Entry ii
NiAs3: optimized geometry, PBE-GGA.

space-group type: Fm-3m, No. 225
crystal system: cubic

```
NiAs3
1.0
0.000 3.222 3.222
3.222 0.000 3.222
3.222 3.222 0.000
Ni As
1 3
Direct
0.000 0.000 0.000 Ni
0.250 0.250 0.250 As
0.500 0.500 0.500 As
0.750 0.750 0.750 As
```

***

Which structure is the most stable? The one labeled entry i.

***

Entry i
Zr3Ni3As4Pd: optimized geometry, PBE-GGA.

space-group type: Pm, No. 6
crystal system: monoclinic

```
Zr3Ni3As4Pd
1.0
6.507 0.000 0.000
0.000 3.855 0.000
-0.054 0.000 7.420
Zr Ni As Pd
3 3 4 1
Direct
0.000 0.000 0.000 Zr
0.056 0.500 0.371 Zr
0.509 0.000 0.860 Zr
0.395 0.000 0.236 Ni
0.683 0.500 0.123 Ni
0.907 0.000 0.620 Ni
0.305 0.500 0.070 As
0.311 0.000 0.543 As
0.759 0.000 0.312 As
0.783 0.500 0.786 As
0.176 0.500 0.742 Pd
```

***

Entry ii
Zr3Ni3As4Pd: optimized geometry, PBE-GGA.

space-group type: Pm, No. 6
crystal system: monoclinic

```
Zr3Ni3As4Pd
1.0
6.564 0.000 0.000
0.000 3.857 0.000
-0.011 0.000 7.411
Zr Ni As Pd
3 3 4 1
Direct
0.000 0.000 0.000 Zr
0.059 0.500 0.621 Zr
0.547 0.500 0.490 Zr
0.150 0.500 0.250 Ni
0.368 0.000 0.750 Ni
0.899 0.000 0.367 Ni
0.269 0.000 0.412 As
0.288 0.500 0.940 As
0.765 0.000 0.674 As
0.775 0.500 0.201 As
0.667 0.500 0.879 Pd
```

***

Which structure is the most stable? The one labeled entry ii.

***

Entry i
TaNiAsPt: optimized geometry, PBE-GGA.

space-group type: F-43m, No. 216
crystal system: cubic

```
TaNiAsPt
1.0
0.000 3.125 3.125
3.125 0.000 3.125
3.125 3.125 0.000
Ta Ni As Pt
1 1 1 1
Direct
0.000 0.000 0.000 Ta
0.500 0.500 0.500 Ni
0.250 0.250 0.250 As
0.750 0.750 0.750 Pt
```

***

Entry ii
TaNiAsPt: optimized geometry, PBE-GGA.

space-group type: F-43m, No. 216
crystal system: cubic

```
TaNiAsPt
1.0
0.000 3.155 3.155
3.155 0.000 3.155
3.155 3.155 0.000
Ta Ni As Pt
1 1 1 1
Direct
0.000 0.000 0.000 Ta
0.750 0.750 0.750 Ni
0.500 0.500 0.500 As
0.250 0.250 0.250 Pt
```

***

Which structure is the most stable? The one labeled entry i.

***

Entry i
ScZnNiAs: optimized geometry, PBE-GGA.

space-group type: F-43m, No. 216
crystal system: cubic

```
ScZnNiAs
1.0
0.000 3.165 3.165
3.165 0.000 3.165
3.165 3.165 0.000
Sc Zn Ni As
1 1 1 1
Direct
0.000 0.000 0.000 Sc
0.750 0.750 0.750 Zn
0.250 0.250 0.250 Ni
0.500 0.500 0.500 As
```

***

Entry ii
ScZnNiAs: optimized geometry, PBE-GGA.

space-group type: F-43m, No. 216
crystal system: cubic

```
ScZnNiAs
1.0
0.000 3.170 3.170
3.170 0.000 3.170
3.170 3.170 0.000
Sc Zn Ni As
1 1 1 1
Direct
0.000 0.000 0.000 Sc
0.500 0.500 0.500 Zn
0.750 0.750 0.750 Ni
0.250 0.250 0.250 As
```

***

Which structure is the most stable? The one labeled entry ii.

***

Entry i
SrNiSnAs: optimized geometry, PBE-GGA.

space-group type: Cmcm, No. 63
crystal system: orthorhombic

```
SrNiSnAs
1.0
2.247 -8.888 0.000
2.247 8.888 0.000
0.000 0.000 4.529
Sr Ni Sn As
2 2 2 2
Direct
0.119 0.881 0.750 Sr
0.881 0.119 0.250 Sr
0.306 0.694 0.750 Ni
0.694 0.306 0.250 Ni
0.451 0.549 0.750 Sn
0.549 0.451 0.250 Sn
0.252 0.748 0.250 As
0.748 0.252 0.750 As
```

***

Entry ii
SrNiSnAs: optimized geometry, PBE-GGA.

space-group type: Cmcm, No. 63
crystal system: orthorhombic

```
SrNiSnAs
1.0
2.242 -8.816 0.000
2.242 8.816 0.000
0.000 0.000 4.537
Sr Ni Sn As
2 2 2 2
Direct
0.097 0.903 0.750 Sr
0.903 0.097 0.250 Sr
0.327 0.673 0.750 Ni
0.673 0.327 0.250 Ni
0.251 0.749 0.250 Sn
0.749 0.251 0.750 Sn
0.459 0.541 0.750 As
0.541 0.459 0.250 As
```

***

Which structure is the most stable? The one labeled entry ii.